# 1
The following is a DFT calculation (SCAN) of a PBEsol-optimized structure of Na5AuSe12.

Properties
ΔE_f (raw)   -608 meV/atom
Calculated total energy   -684.2 eV for the cell shown

a = 7.1123 Å, b = 16.5468 Å, c = 8.1946 Å
α = 90.00°, β = 106.42°, γ = 90.00°
Closest atoms and distances in Å follow each position.
Fractional positions:
Na (0.1261, 0.0000, 0.1026)  5 Se 2.82-3.13
Na (0.2139, 0.2230, 0.3496)  5 Se 2.93-3.05
Na (0.2210, 0.8031, 0.0127)  5 Se 2.82-3.12
Na (0.2912, 0.4421, 0.5728)  4 Se 2.90-3.03
Na (0.3361, 0.6238, 0.2838)  5 Se 2.88-3.00
Na (0.6639, 0.1238, 0.7162)  5 Se 2.88-3.00
Na (0.7088, 0.9421, 0.4272)  4 Se 2.90-3.03
Na (0.7790, 0.3031, 0.9873)  5 Se 2.82-3.12
Na (0.7861, 0.7230, 0.6504)  5 Se 2.93-3.05
Na (0.8739, 0.5000, 0.8974)  5 Se 2.82-3.13
Au (0.2095, 0.2151, 0.8408)  4 Se 2.50-2.51
Au (0.7905, 0.7151, 0.1592)  4 Se 2.50-2.51
Se (0.0040, 0.6546, 0.4288)  1 Se 2.44, 1 Au 2.51
Se (0.0460, 0.3496, 0.7582)  1 Se 2.41, 1 Au 2.51
Se (0.0495, 0.4116, 0.2232)  1 Se 2.37
Se (0.1002, 0.6421, 0.9302)  1 Se 2.38
Se (0.1522, 0.0242, 0.5645)  2 Se 2.39-2.44
Se (0.2214, 0.8143, 0.4868)  2 Se 2.37-2.41
Se (0.3078, 0.4122, 0.0929)  2 Se 2.37-2.42
Se (0.3765, 0.6157, 0.8283)  2 Se 2.38-2.42
Se (0.3784, 0.0817, 0.9092)  1 Se 2.42, 1 Au 2.50
Se (0.3931, 0.0543, 0.4199)  1 Se 2.39
Se (0.4274, 0.2748, 0.1093)  1 Se 2.42, 1 Au 2.51
Se (0.4781, 0.7943, 0.3592)  1 Se 2.37
Se (0.5219, 0.2943, 0.6408)  1 Se 2.37
Se (0.5726, 0.7748, 0.8907)  1 Se 2.42, 1 Au 2.51
Se (0.6069, 0.5543, 0.5801)  1 Se 2.39
Se (0.6216, 0.5817, 0.0908)  1 Se 2.42, 1 Au 2.50
Se (0.6235, 0.1157, 0.1717)  2 Se 2.38-2.42
Se (0.6922, 0.9122, 0.9071)  2 Se 2.37-2.42
Se (0.7786, 0.3143, 0.5132)  2 Se 2.37-2.41
Se (0.8478, 0.5242, 0.4355)  2 Se 2.39-2.44
Se (0.8998, 0.1421, 0.0698)  1 Se 2.38
Se (0.9505, 0.9116, 0.7768)  1 Se 2.37
Se (0.9540, 0.8496, 0.2418)  1 Se 2.41, 1 Au 2.51
Se (0.9960, 0.1546, 0.5712)  1 Se 2.44, 1 Au 2.51



# 2
The following is a DFT calculation (SCAN) of a PBEsol-optimized structure of NaAuSe.

Properties
ΔE_f (raw)   -746 meV/atom
Calculated total energy   -382.8 eV for the cell shown

a = 9.7177 Å, b = 5.7525 Å, c = 5.4122 Å
α = 90.00°, β = 90.00°, γ = 90.00°
Closest atoms and distances in Å follow each position.
Fractional positions:
Na (0.1348, 0.2500, 0.0410)  4 Se 2.86-3.03, 2 Au 3.16
Na (0.3652, 0.7500, 0.5410)  4 Se 2.86-3.03, 2 Au 3.16
Na (0.6348, 0.2500, 0.4590)  4 Se 2.86-3.03, 2 Au 3.16
Na (0.8652, 0.7500, 0.9590)  4 Se 2.86-3.03, 2 Au 3.16
Au (0.0000, 0.0000, 0.5000)  2 Se 2.46
Au (0.0000, 0.5000, 0.5000)  2 Se 2.46
Au (0.5000, 0.0000, 0.0000)  2 Se 2.46
Au (0.5000, 0.5000, 0.0000)  2 Se 2.46
Se (0.1323, 0.7500, 0.2189)  2 Au 2.46
Se (0.3677, 0.2500, 0.7189)  2 Au 2.46
Se (0.6323, 0.7500, 0.2811)  2 Au 2.46
Se (0.8677, 0.2500, 0.7811)  2 Au 2.46



What did the first record say?
The following is a DFT calculation (SCAN) of a PBEsol-optimized structure of Na5AuSe12.

Properties
ΔE_f (raw)   -608 meV/atom
Calculated total energy   -684.2 eV for the cell shown

a = 7.1123 Å, b = 16.5468 Å, c = 8.1946 Å
α = 90.00°, β = 106.42°, γ = 90.00°
Closest atoms and distances in Å follow each position.
Fractional positions:
Na (0.1261, 0.0000, 0.1026)  5 Se 2.82-3.13
Na (0.2139, 0.2230, 0.3496)  5 Se 2.93-3.05
Na (0.2210, 0.8031, 0.0127)  5 Se 2.82-3.12
Na (0.2912, 0.4421, 0.5728)  4 Se 2.90-3.03
Na (0.3361, 0.6238, 0.2838)  5 Se 2.88-3.00
Na (0.6639, 0.1238, 0.7162)  5 Se 2.88-3.00
Na (0.7088, 0.9421, 0.4272)  4 Se 2.90-3.03
Na (0.7790, 0.3031, 0.9873)  5 Se 2.82-3.12
Na (0.7861, 0.7230, 0.6504)  5 Se 2.93-3.05
Na (0.8739, 0.5000, 0.8974)  5 Se 2.82-3.13
Au (0.2095, 0.2151, 0.8408)  4 Se 2.50-2.51
Au (0.7905, 0.7151, 0.1592)  4 Se 2.50-2.51
Se (0.0040, 0.6546, 0.4288)  1 Se 2.44, 1 Au 2.51
Se (0.0460, 0.3496, 0.7582)  1 Se 2.41, 1 Au 2.51
Se (0.0495, 0.4116, 0.2232)  1 Se 2.37
Se (0.1002, 0.6421, 0.9302)  1 Se 2.38
Se (0.1522, 0.0242, 0.5645)  2 Se 2.39-2.44
Se (0.2214, 0.8143, 0.4868)  2 Se 2.37-2.41
Se (0.3078, 0.4122, 0.0929)  2 Se 2.37-2.42
Se (0.3765, 0.6157, 0.8283)  2 Se 2.38-2.42
Se (0.3784, 0.0817, 0.9092)  1 Se 2.42, 1 Au 2.50
Se (0.3931, 0.0543, 0.4199)  1 Se 2.39
Se (0.4274, 0.2748, 0.1093)  1 Se 2.42, 1 Au 2.51
Se (0.4781, 0.7943, 0.3592)  1 Se 2.37
Se (0.5219, 0.2943, 0.6408)  1 Se 2.37
Se (0.5726, 0.7748, 0.8907)  1 Se 2.42, 1 Au 2.51
Se (0.6069, 0.5543, 0.5801)  1 Se 2.39
Se (0.6216, 0.5817, 0.0908)  1 Se 2.42, 1 Au 2.50
Se (0.6235, 0.1157, 0.1717)  2 Se 2.38-2.42
Se (0.6922, 0.9122, 0.9071)  2 Se 2.37-2.42
Se (0.7786, 0.3143, 0.5132)  2 Se 2.37-2.41
Se (0.8478, 0.5242, 0.4355)  2 Se 2.39-2.44
Se (0.8998, 0.1421, 0.0698)  1 Se 2.38
Se (0.9505, 0.9116, 0.7768)  1 Se 2.37
Se (0.9540, 0.8496, 0.2418)  1 Se 2.41, 1 Au 2.51
Se (0.9960, 0.1546, 0.5712)  1 Se 2.44, 1 Au 2.51



> Which value of calculated total energy does entry 2 give?

-382.8 eV for the cell shown



> Which value of calculated total energy does entry 2 give?

-382.8 eV for the cell shown



> Which formula does entry 2 have?

NaAuSe